[1]
The following is a PBE calculation of crystalline HoTmTlPd2 at its relaxed geometry, from OQMD.

Cell lengths 3.628, 4.106, 15.012 Å; angles 90.00, 90.00, 90.00 degrees
Space group Amm2 (No. 38)
Inequivalent atoms, fractional coordinates:
Ho 0.000 0.000 0.000 [2 per cell]
Tm 0.000 0.000 0.270 [2 per cell]
Tl 0.500 0.000 0.635 [2 per cell]
Pd 0.500 0.000 0.444 [2 per cell]
Pd 0.500 0.000 0.824 [2 per cell]

Uncorrected energy (eV/atom): -5.127


[2]
The following is a PBE calculation of crystalline Zr5ZnSn3 at its relaxed geometry, from OQMD.

Cell lengths 8.7059, 8.7059, 5.8996 Å; angles 90.00, 90.00, 120.00 degrees
Space group P6_3/mcm (No. 193)
Inequivalent atoms, fractional coordinates:
Zr 0.0000 0.2687 0.2500 [6 per cell]
Zr 0.3333 0.6667 0.0000 [4 per cell]
Zn 0.0000 0.0000 0.0000 [2 per cell]
Sn 0.0000 0.3840 0.7500 [6 per cell]

Uncorrected energy (eV/atom): -6.808


[3]
The following is a PBE calculation of crystalline ReC at its relaxed geometry, from OQMD.

Cell lengths 2.9681, 2.9681, 6.2408 Å; angles 90.00, 90.00, 120.00 degrees
Space group P6_3mc (No. 186)
Inequivalent atoms, fractional coordinates:
Re 0.3333 0.6667 0.0000 [2 per cell]
C 0.3333 0.6667 0.3206 [2 per cell]

Uncorrected energy (eV/atom): -10.114


[4]
The following is a PBE calculation of crystalline PrTm2Sn3PdPt2 at its relaxed geometry, from OQMD.

Cell lengths 4.046, 13.148, 7.507 Å; angles 90.00, 90.00, 90.00 degrees
Space group Amm2 (No. 38)
Inequivalent atoms, fractional coordinates:
Pr 0.000 0.000 0.000 [2 per cell]
Tm 0.000 0.205 0.385 [4 per cell]
Sn 0.500 0.000 0.333 [2 per cell]
Sn 0.500 0.129 0.715 [4 per cell]
Pd 0.000 0.000 0.581 [2 per cell]
Pt 0.500 0.173 0.091 [4 per cell]

Uncorrected energy (eV/atom): -5.800


[5]
The following is a PBE calculation of crystalline Lu4ZnSN2 at its relaxed geometry, from OQMD.

Cell lengths 3.4613, 3.4613, 13.2617 Å; angles 90.00, 90.00, 120.00 degrees
Space group P-6m2 (No. 187)
Inequivalent atoms, fractional coordinates:
Lu 0.0000 0.0000 0.1390 [2 per cell]
Lu 0.6667 0.3333 0.3343 [2 per cell]
Zn 0.0000 0.0000 0.5000 [1 per cell]
S 0.6667 0.3333 0.0000 [1 per cell]
N 0.3333 0.6667 0.2288 [2 per cell]

Uncorrected energy (eV/atom): -6.427


[6]
The following is a PBE calculation of crystalline ZnCoPd at its relaxed geometry, from OQMD.

Cell lengths 5.712, 5.712, 5.712 Å; angles 90.00, 90.00, 90.00 degrees
Space group F-43m (No. 216)
Inequivalent atoms, fractional coordinates:
Zn 0.000 0.000 0.000 [4 per cell]
Co 0.250 0.250 0.750 [4 per cell]
Pd 0.000 0.000 0.500 [4 per cell]

Uncorrected energy (eV/atom): -4.286
Formation enthalpy at 0 K (meV/atom): 229


[7]
The following is a PBE calculation of crystalline GdZrFe4 at its relaxed geometry, from OQMD.

Cell lengths 7.147, 7.147, 7.147 Å; angles 90.00, 90.00, 90.00 degrees
Space group F-43m (No. 216)
Inequivalent atoms, fractional coordinates:
Gd 0.000 0.000 0.000 [4 per cell]
Zr 0.250 0.250 0.750 [4 per cell]
Fe 0.125 0.125 0.375 [16 per cell]

Uncorrected energy (eV/atom): -7.871
Formation enthalpy at 0 K (meV/atom): -132


[8]
The following is a PBE calculation of crystalline Cd2HgTe2F2 at its relaxed geometry, from OQMD.

Cell lengths 3.988, 3.988, 9.682 Å; angles 90.00, 90.00, 90.00 degrees
Space group P-4m2 (No. 115)
Inequivalent atoms, fractional coordinates:
Cd 0.000 0.500 0.141 [2 per cell]
Hg 0.000 0.000 0.500 [1 per cell]
Te 0.000 0.500 0.712 [2 per cell]
F 0.000 0.000 0.000 [1 per cell]
F 0.500 0.500 0.000 [1 per cell]

Uncorrected energy (eV/atom): -2.650


[9]
The following is a PBE calculation of crystalline NaErZnTe3 at its relaxed geometry, from OQMD.

Cell lengths 20.346, 4.304, 8.678 Å; angles 90.00, 102.45, 90.00 degrees
Space group C2/m (No. 12)
Inequivalent atoms, fractional coordinates:
Na 0.120 0.000 0.067 [4 per cell]
Er 0.173 0.000 0.577 [4 per cell]
Zn 0.040 0.500 0.725 [4 per cell]
Te 0.000 0.000 0.500 [2 per cell]
Te 0.000 0.500 0.000 [2 per cell]
Te 0.172 0.500 0.824 [4 per cell]
Te 0.175 0.500 0.336 [4 per cell]

Uncorrected energy (eV/atom): -3.631


[10]
The following is a PBE calculation of crystalline GdSnTeO at its relaxed geometry, from OQMD.

Cell lengths 4.9737, 4.9737, 32.0358 Å; angles 90.00, 90.00, 120.00 degrees
Space group R-3m (No. 166, hexagonal axes)
Inequivalent atoms, fractional coordinates:
Gd 0.0000 0.0000 0.2374 [6 per cell]
Sn 0.0000 0.0000 0.3690 [6 per cell]
Te 0.0000 0.0000 0.1248 [6 per cell]
O 0.0000 0.0000 0.3040 [6 per cell]

Uncorrected energy (eV/atom): -5.321


[11]
The following is a PBE calculation of crystalline HoTmAsO at its relaxed geometry, from OQMD.

Cell lengths 4.094, 7.597, 5.790 Å; angles 90.00, 90.00, 90.00 degrees
Space group Pmc2_1 (No. 26)
Inequivalent atoms, fractional coordinates:
Ho 0.000 0.115 0.000 [2 per cell]
Tm 0.500 0.286 0.433 [2 per cell]
As 0.500 0.347 0.923 [2 per cell]
O 0.000 0.173 0.377 [2 per cell]

Uncorrected energy (eV/atom): -6.626


[12]
The following is a PBE calculation of crystalline ZnH6Pt at its relaxed geometry, from OQMD.

Cell lengths 4.4682, 4.4682, 11.5774 Å; angles 90.00, 90.00, 120.00 degrees
Space group R-3 (No. 148, hexagonal axes)
Inequivalent atoms, fractional coordinates:
Zn 0.0000 0.0000 0.0000 [3 per cell]
H 0.0104 0.7001 0.5809 [18 per cell]
Pt 0.0000 0.0000 0.5000 [3 per cell]

Uncorrected energy (eV/atom): -3.340


[13]
The following is a PBE calculation of crystalline TbEr2Ga3Si2Ni at its relaxed geometry, from OQMD.

Cell lengths 4.136, 11.888, 6.835 Å; angles 90.00, 90.00, 90.00 degrees
Space group Amm2 (No. 38)
Inequivalent atoms, fractional coordinates:
Tb 0.000 0.000 0.000 [2 per cell]
Er 0.000 0.202 0.394 [4 per cell]
Ga 0.500 0.000 0.359 [2 per cell]
Ga 0.500 0.119 0.713 [4 per cell]
Si 0.500 0.168 0.096 [4 per cell]
Ni 0.000 0.000 0.592 [2 per cell]

Uncorrected energy (eV/atom): -5.051